The following is a PBE calculation of crystalline TcSb2Te at its relaxed geometry, from Alexandria.

abc: 3.209 3.209 9.473
angles: 90.00 90.00 90.00
Atoms (fractional coordinates):
Te  0.500  0.500  0.668
Sb  0.000  0.000  0.019
Tc  0.000  0.000  0.502
Sb  0.500  0.500  0.311

Results
Energy above the lowest structure with this stoichiometry: 48 meV/atom
DFT total energy: -5.331 eV/atom
Formation energy (no corrections): 0.43 eV/f.u.